1.
This record from Alexandria describes an optimized crystal structure of Rb2Y2ZrS6. The functional is PBE.

The structure in CIF format:
```
data_Rb2Y2ZrS6
_cell_length_a 6.813
_cell_length_b 6.813
_cell_length_c 8.208
_cell_angle_alpha 98.19
_cell_angle_beta 98.19
_cell_angle_gamma 119.65
_symmetry_space_group_name_H-M 'P 1'
_symmetry_Int_Tables_number 1
loop_
_symmetry_equiv_pos_as_xyz
'x,y,z'
loop_
_atom_site_label
_atom_site_type_symbol
_atom_site_fract_x
_atom_site_fract_y
_atom_site_fract_z
Rb1 Rb 0.830 0.170 0.000
Rb2 Rb 0.170 0.830 0.000
Y1 Y 0.333 0.667 0.500
Y2 Y 0.667 0.333 0.500
Zr1 Zr 0.000 0.000 0.500
S1 S 0.747 0.747 0.685
S2 S 0.063 0.381 0.686
S3 S 0.253 0.253 0.315
S4 S 0.381 0.063 0.686
S5 S 0.937 0.619 0.314
S6 S 0.619 0.937 0.314
```

Values from the calculation:
formation energy (no corrections): -1.80 eV/atom



2.
This record from Alexandria describes an optimized crystal structure of Rb3Y2ZrS6. The functional is PBE.

The structure in CIF format:
```
data_Rb3Y2ZrS6
_cell_length_a 6.899
_cell_length_b 6.899
_cell_length_c 8.042
_cell_angle_alpha 98.23
_cell_angle_beta 98.23
_cell_angle_gamma 120.00
_symmetry_space_group_name_H-M 'P 1'
_symmetry_Int_Tables_number 1
loop_
_symmetry_equiv_pos_as_xyz
'x,y,z'
loop_
_atom_site_label
_atom_site_type_symbol
_atom_site_fract_x
_atom_site_fract_y
_atom_site_fract_z
Rb1 Rb 0.169 0.831 0.500
Rb2 Rb 0.831 0.169 0.500
Rb3 Rb 0.500 0.500 0.500
Y1 Y 0.334 0.666 0.000
Y2 Y 0.666 0.334 0.000
Zr1 Zr 0.000 0.000 0.000
S1 S 0.936 0.616 0.808
S2 S 0.744 0.744 0.193
S3 S 0.064 0.384 0.192
S4 S 0.616 0.936 0.808
S5 S 0.256 0.256 0.807
S6 S 0.384 0.064 0.192
```

Values from the calculation:
formation energy (no corrections): -1.70 eV/atom



3.
This record from Alexandria describes an optimized crystal structure of Rb2YZrS4. The functional is PBE.

The structure in CIF format:
```
data_Rb2YZrS4
_cell_length_a 3.919
_cell_length_b 6.848
_cell_length_c 8.034
_cell_angle_alpha 106.24
_cell_angle_beta 90.00
_cell_angle_gamma 90.00
_symmetry_space_group_name_H-M 'P 1'
_symmetry_Int_Tables_number 1
loop_
_symmetry_equiv_pos_as_xyz
'x,y,z'
loop_
_atom_site_label
_atom_site_type_symbol
_atom_site_fract_x
_atom_site_fract_y
_atom_site_fract_z
Rb1 Rb 0.500 0.000 0.500
Rb2 Rb 0.000 0.500 0.500
Y1 Y 0.000 0.000 0.000
Zr1 Zr 0.500 0.500 0.000
S1 S 0.500 0.243 0.194
S2 S 0.500 0.757 0.806
S3 S 0.000 0.281 0.810
S4 S 0.000 0.719 0.190
```

Values from the calculation:
formation energy (no corrections): -1.63 eV/atom



4.
This record from Alexandria describes an optimized crystal structure of RbYbS2. The functional is PBE.

The structure in CIF format:
```
data_RbYbS2
_cell_length_a 4.222
_cell_length_b 4.222
_cell_length_c 7.898
_cell_angle_alpha 74.50
_cell_angle_beta 74.50
_cell_angle_gamma 60.00
_symmetry_space_group_name_H-M 'P 1'
_symmetry_Int_Tables_number 1
loop_
_symmetry_equiv_pos_as_xyz
'x,y,z'
loop_
_atom_site_label
_atom_site_type_symbol
_atom_site_fract_x
_atom_site_fract_y
_atom_site_fract_z
S1 S 0.230 0.230 0.310
S2 S 0.770 0.770 0.690
Yb1 Yb 0.500 0.500 0.500
Rb1 Rb 0.000 0.000 0.000
```

Values from the calculation:
formation energy (no corrections): -1.29 eV/atom



5.
This record from Alexandria describes an optimized crystal structure of RbZnS6. The functional is PBE.

The structure in CIF format:
```
data_RbZnS6
_cell_length_a 11.097
_cell_length_b 6.364
_cell_length_c 14.122
_cell_angle_alpha 55.70
_cell_angle_beta 141.94
_cell_angle_gamma 153.70
_symmetry_space_group_name_H-M 'P 1'
_symmetry_Int_Tables_number 1
loop_
_symmetry_equiv_pos_as_xyz
'x,y,z'
loop_
_atom_site_label
_atom_site_type_symbol
_atom_site_fract_x
_atom_site_fract_y
_atom_site_fract_z
Rb1 Rb 0.500 0.500 0.500
Zn1 Zn 0.000 0.000 0.000
S1 S 0.559 0.140 0.149
S2 S 0.581 0.970 0.771
S3 S 0.375 0.169 0.756
S4 S 0.419 0.030 0.229
S5 S 0.441 0.860 0.851
S6 S 0.625 0.831 0.244
```

Values from the calculation:
formation energy (no corrections): -0.31 eV/atom



6.
This record from Alexandria describes an optimized crystal structure of RbZn3S3. The functional is PBE.

The structure in CIF format:
```
data_RbZn3S3
_cell_length_a 7.174
_cell_length_b 7.174
_cell_length_c 9.040
_cell_angle_alpha 66.62
_cell_angle_beta 66.62
_cell_angle_gamma 60.00
_symmetry_space_group_name_H-M 'P 1'
_symmetry_Int_Tables_number 1
loop_
_symmetry_equiv_pos_as_xyz
'x,y,z'
loop_
_atom_site_label
_atom_site_type_symbol
_atom_site_fract_x
_atom_site_fract_y
_atom_site_fract_z
Rb1 Rb 0.333 0.333 0.000
Rb2 Rb 0.667 0.667 0.000
Zn1 Zn 0.451 0.796 0.626
Zn2 Zn 0.796 0.127 0.626
Zn3 Zn 0.127 0.451 0.626
Zn4 Zn 0.873 0.549 0.374
Zn5 Zn 0.204 0.873 0.374
Zn6 Zn 0.549 0.204 0.374
S1 S 0.232 0.558 0.312
S2 S 0.898 0.232 0.312
S3 S 0.558 0.898 0.312
S4 S 0.442 0.102 0.688
S5 S 0.102 0.768 0.688
S6 S 0.768 0.442 0.688
```

Values from the calculation:
formation energy (no corrections): -0.61 eV/atom



7.
This record from Alexandria describes an optimized crystal structure of RbZnS2. The functional is PBE.

The structure in CIF format:
```
data_RbZnS2
_cell_length_a 7.355
_cell_length_b 7.355
_cell_length_c 6.529
_cell_angle_alpha 55.72
_cell_angle_beta 55.72
_cell_angle_gamma 90.00
_symmetry_space_group_name_H-M 'P 1'
_symmetry_Int_Tables_number 1
loop_
_symmetry_equiv_pos_as_xyz
'x,y,z'
loop_
_atom_site_label
_atom_site_type_symbol
_atom_site_fract_x
_atom_site_fract_y
_atom_site_fract_z
Zn1 Zn 0.500 0.500 0.000
Zn2 Zn 0.250 0.750 0.500
S1 S 0.513 0.125 0.250
S2 S 0.237 0.625 0.250
S3 S 0.375 0.487 0.750
S4 S 0.875 0.763 0.750
Rb1 Rb 0.000 0.000 0.000
Rb2 Rb 0.750 0.250 0.500
```

Values from the calculation:
formation energy (no corrections): -0.64 eV/atom



8.
This record from Alexandria describes an optimized crystal structure of Rb5Zn2S5. The functional is PBE.

The structure in CIF format:
```
data_Rb5Zn2S5
_cell_length_a 4.027
_cell_length_b 8.021
_cell_length_c 11.425
_cell_angle_alpha 100.61
_cell_angle_beta 90.00
_cell_angle_gamma 104.54
_symmetry_space_group_name_H-M 'P 1'
_symmetry_Int_Tables_number 1
loop_
_symmetry_equiv_pos_as_xyz
'x,y,z'
loop_
_atom_site_label
_atom_site_type_symbol
_atom_site_fract_x
_atom_site_fract_y
_atom_site_fract_z
Rb1 Rb 0.500 0.000 0.500
Rb2 Rb 0.654 0.308 0.088
Rb3 Rb 0.785 0.569 0.372
Rb4 Rb 0.215 0.431 0.628
Rb5 Rb 0.346 0.692 0.912
Zn1 Zn 0.028 0.057 0.800
Zn2 Zn 0.972 0.943 0.200
S1 S 0.109 0.217 0.338
S2 S 0.615 0.230 0.785
S3 S 0.385 0.770 0.215
S4 S 0.891 0.783 0.662
S5 S 0.000 0.000 0.000
```

Values from the calculation:
formation energy (no corrections): -0.86 eV/atom



Question: Which value of formation energy (no corrections) does entry 6 give?
Answer: -0.61 eV/atom



Question: Among the records above, which one has the lowest formation energy (no corrections)?
Answer: Rb2Y2ZrS6



Question: Which value of formation energy (no corrections) does entry 4 give?
Answer: -1.29 eV/atom



Question: Which value of formation energy (no corrections) does entry 6 give?
Answer: -0.61 eV/atom